Here is K2NpMnO4 after structural relaxation from Alexandria via LeMat-Bulk. Energies are from GGA+U.

Unit cell a=3.488 b=5.802 c=6.527 alpha=107.26 beta=90.00 gamma=90.00
Element x y z (fractional)
O 0.500 0.760 0.817
Np 0.500 0.500 0.000
O 0.000 0.274 0.810
K 0.500 0.000 0.500
O 0.000 0.726 0.190
O 0.500 0.240 0.183
K 0.000 0.500 0.500
Mn 0.000 0.000 0.000

## Properties
Symmetry: No. 10
VASP energy in eV/atom: -7.367
Crystal system: monoclinic
N(E_F) in states/eV per cell: 6.6